Record 1
A plane-wave DFT calculation with PBE with a Hubbard U was carried out for a relaxed structure of VSnO2F.

The structure belongs to space group P4/mmm (No. 123); the cell edges are 4.153, 4.153 and 4.257 Å and the angles 90.00°, 90.00° and 90.00°. Symmetry generates all atoms from V at (0.000, 0.000, 0.000), Sn at (0.500, 0.500, 0.500), O at (0.000, 0.500, 0.500) and F at (0.500, 0.500, 0.000).

The value obtained for the spin magnetization is 3.54 Bohr magnetons per cell. Its density is 4.99 Mg/m³. The value obtained for the total energy is -5.6355 eV/atom.


Record 2
A plane-wave DFT calculation with PBE with a Hubbard U was carried out for a relaxed structure of SnWOF2.

The structure belongs to space group P4/mmm (No. 123); the cell edges are 4.333, 4.333 and 4.274 Å and the angles 90.00°, 90.00° and 90.00°. Symmetry generates all atoms from Sn at (0.000, 0.000, 0.000), W at (0.500, 0.500, 0.500), O at (0.500, 0.500, 0.000) and F at (0.000, 0.500, 0.500).

The value obtained for the spin magnetization is 3.02 Bohr magnetons per cell. Its density is 7.38 Mg/m³. The value obtained for the total energy is -5.4135 eV/atom. The excess energy over the best structure of this formula in the dataset comes out at 0.000 eV per atom.


Record 3
A plane-wave DFT calculation with PBE with a Hubbard U was carried out for a relaxed structure of SnWO2F.

The structure belongs to space group P4/mmm (No. 123); the cell edges are 4.168, 4.168 and 4.278 Å and the angles 90.00°, 90.00° and 90.00°. Symmetry generates all atoms from Sn at (0.000, 0.000, 0.000), W at (0.500, 0.500, 0.500), O at (0.000, 0.500, 0.000) and F at (0.000, 0.000, 0.500).

The value obtained for the spin magnetization is 4.61 Bohr magnetons per cell. Its density is 7.90 Mg/m³. The value obtained for the total energy is -5.1416 eV/atom.


Record 4
A plane-wave DFT calculation with PBE with a Hubbard U was carried out for a relaxed structure of SnWOF2.

The structure belongs to space group P4/mmm (No. 123); the cell edges are 4.480, 4.480 and 4.195 Å and the angles 90.00°, 90.00° and 90.00°. Symmetry generates all atoms from Sn at (0.000, 0.000, 0.000), W at (0.500, 0.500, 0.500), O at (0.000, 0.000, 0.500) and F at (0.000, 0.500, 0.000).

The value obtained for the spin magnetization is 4.96 Bohr magnetons per cell. Its density is 7.03 Mg/m³. The value obtained for the total energy is -4.6504 eV/atom. The excess energy over the best structure of this formula in the dataset comes out at 0.763 eV per atom.


Record 5
A plane-wave DFT calculation with PBE with a Hubbard U was carried out for a relaxed structure of SnWO2F.

The structure belongs to space group P4/mmm (No. 123); the cell edges are 4.127, 4.127 and 4.360 Å and the angles 90.00°, 90.00° and 90.00°. Symmetry generates all atoms from Sn at (0.000, 0.000, 0.000), W at (0.500, 0.500, 0.500), O at (0.000, 0.500, 0.500) and F at (0.500, 0.500, 0.000).

The value obtained for the spin magnetization is 2.31 Bohr magnetons per cell. Its density is 7.91 Mg/m³. The value obtained for the total energy is -5.9973 eV/atom.